A plane-wave DFT calculation with PBE was carried out for an optimized crystal structure of CePuTlCd.

ΔE to the lowest computed polymorph, meV/atom: 62
Crystal system: cubic
Formation enthalpy at 0 K, meV/atom: -74
Spin magnetization, μB per formula unit: 7.35
Mass density, g cm⁻³: 10.32
Uncorrected energy, eV for the cell shown: -95.37

Lattice parameters (Å, degrees): 7.670 7.670 7.670 90.00 90.00 90.00
Element x y z (fractional)
1 Ce 0.000 0.000 0.000
2 Ce 0.000 0.500 0.500
3 Ce 0.500 0.000 0.500
4 Ce 0.500 0.500 0.000
5 Pu 0.000 0.000 0.500
6 Pu 0.000 0.500 0.000
7 Pu 0.500 0.000 0.000
8 Pu 0.500 0.500 0.500
9 Tl 0.250 0.250 0.250
10 Tl 0.250 0.750 0.750
11 Tl 0.750 0.250 0.750
12 Tl 0.750 0.750 0.250
13 Cd 0.250 0.250 0.750
14 Cd 0.250 0.750 0.250
15 Cd 0.750 0.250 0.250
16 Cd 0.750 0.750 0.750